[1]
VASP calculation (PBE) on a relaxed Tm4GeTeSe2 crystal.

a = 4.116 Å, b = 7.078 Å, c = 7.242 Å
α = 70.54°, β = 90.00°, γ = 90.00°
Positions (direct):
Tm 0.000 0.743 0.771
Tm 0.000 0.257 0.229
Tm 0.500 0.758 0.223
Tm 0.500 0.242 0.777
Ge 0.500 0.500 0.000
Te 0.000 0.500 0.500
Se 0.000 0.000 0.000
Se 0.500 0.000 0.500

Computed properties:
Symmetry: P2/m (10)
Formation energy (no corrections) in eV per atom: -1.416
Size of the total moment in μB/atom: 0.000



[2]
VASP calculation (PBE) on a relaxed Tm4GeTe2Se crystal.

a = 4.165 Å, b = 7.386 Å, c = 7.184 Å
α = 70.85°, β = 90.00°, γ = 90.00°
Positions (direct):
Tm 0.000 0.718 0.752
Tm 0.000 0.282 0.248
Tm 0.500 0.717 0.269
Tm 0.500 0.283 0.731
Ge 0.000 0.500 0.500
Te 0.000 0.000 0.000
Te 0.500 0.000 0.500
Se 0.500 0.500 0.000

Computed properties:
Symmetry: P2/m (10)
Formation energy (no corrections) in eV per atom: -1.334
Size of the total moment in μB/atom: 0.000



[3]
VASP calculation (PBE) on a relaxed Tm6GeTe2Se3 crystal.

a = 7.207 Å, b = 7.207 Å, c = 7.104 Å
α = 99.72°, β = 99.72°, γ = 119.91°
Positions (direct):
Tm 0.915 0.610 0.740
Tm 0.787 0.787 0.268
Tm 0.085 0.390 0.260
Tm 0.610 0.915 0.740
Tm 0.213 0.213 0.732
Tm 0.390 0.085 0.260
Ge 0.000 0.000 0.000
Te 0.336 0.664 0.000
Te 0.664 0.336 0.000
Se 0.178 0.822 0.500
Se 0.822 0.178 0.500
Se 0.500 0.500 0.500

Computed properties:
Symmetry: C2/m (12)
Formation energy (no corrections) in eV per atom: -1.430
Size of the total moment in μB/atom: 0.000



[4]
VASP calculation (PBE) on a relaxed Tm6GeTe3Se2 crystal.

a = 7.171 Å, b = 7.171 Å, c = 7.372 Å
α = 99.30°, β = 99.30°, γ = 119.94°
Positions (direct):
Tm 0.929 0.603 0.785
Tm 0.748 0.748 0.218
Tm 0.071 0.397 0.215
Tm 0.603 0.929 0.785
Tm 0.252 0.252 0.782
Tm 0.397 0.071 0.215
Ge 0.000 0.000 0.000
Te 0.170 0.830 0.500
Te 0.830 0.170 0.500
Te 0.500 0.500 0.500
Se 0.334 0.666 0.000
Se 0.666 0.334 0.000

Computed properties:
Symmetry: C2/m (12)
Formation energy (no corrections) in eV per atom: -1.378
Size of the total moment in μB/atom: 0.000



[5]
VASP calculation (PBE) on a relaxed Tm8GeTe4Se3 crystal.

a = 8.278 Å, b = 8.437 Å, c = 8.278 Å
α = 119.38°, β = 120.00°, γ = 90.00°
Positions (direct):
Tm 0.235 0.715 0.980
Tm 0.235 0.715 0.470
Tm 0.262 0.286 0.524
Tm 0.745 0.715 0.980
Tm 0.255 0.285 0.020
Tm 0.738 0.714 0.476
Tm 0.765 0.285 0.530
Tm 0.765 0.285 0.020
Ge 0.000 0.500 0.000
Te 0.500 0.000 0.000
Te 0.500 0.000 0.500
Te 0.000 0.000 0.000
Te 0.000 0.000 0.500
Se 0.500 0.500 0.000
Se 0.500 0.500 0.500
Se 0.000 0.500 0.500

Computed properties:
Symmetry: R-3m (166)
Formation energy (no corrections) in eV per atom: -1.394
Size of the total moment in μB/atom: 0.000



[6]
VASP calculation (PBE) on a relaxed Tm8Ge3Te3Se crystal.

a = 8.296 Å, b = 8.295 Å, c = 8.357 Å
α = 119.76°, β = 90.00°, γ = 120.00°
Positions (direct):
Tm 0.260 0.521 0.281
Tm 0.740 0.479 0.719
Tm 0.750 0.501 0.273
Tm 0.250 0.499 0.727
Tm 0.750 0.023 0.273
Tm 0.250 0.977 0.727
Tm 0.273 0.023 0.273
Tm 0.727 0.977 0.727
Ge 0.500 0.000 0.500
Ge 0.500 0.500 0.500
Ge 0.000 0.500 0.500
Te 0.000 0.000 0.000
Te 0.000 0.500 0.000
Te 0.500 0.500 0.000
Se 0.000 0.000 0.500

Computed properties:
Symmetry: R-3m (166)
Formation energy (no corrections) in eV per atom: -1.096
Size of the total moment in μB/atom: 0.000



[7]
VASP calculation (PBE) on a relaxed Tm8Ge3Te4Se crystal.

a = 8.357 Å, b = 8.477 Å, c = 8.357 Å
α = 119.53°, β = 120.00°, γ = 90.00°
Positions (direct):
Tm 0.244 0.719 0.975
Tm 0.244 0.719 0.488
Tm 0.260 0.281 0.521
Tm 0.731 0.719 0.975
Tm 0.269 0.281 0.025
Tm 0.740 0.719 0.479
Tm 0.756 0.281 0.512
Tm 0.756 0.281 0.025
Ge 0.500 0.500 0.000
Ge 0.500 0.500 0.500
Ge 0.000 0.500 0.500
Te 0.500 0.000 0.000
Te 0.500 0.000 0.500
Te 0.000 0.000 0.000
Te 0.000 0.000 0.500
Se 0.000 0.500 0.000

Computed properties:
Symmetry: R-3m (166)
Formation energy (no corrections) in eV per atom: -1.256
Size of the total moment in μB/atom: 0.000



[8]
VASP calculation (PBE) on a relaxed Y8Ge3Te4Se crystal.

a = 8.478 Å, b = 8.602 Å, c = 8.479 Å
α = 119.53°, β = 120.00°, γ = 90.00°
Positions (direct):
Y 0.244 0.721 0.977
Y 0.244 0.721 0.489
Y 0.260 0.279 0.519
Y 0.732 0.721 0.977
Y 0.268 0.279 0.023
Y 0.740 0.721 0.481
Y 0.756 0.279 0.511
Y 0.756 0.279 0.023
Ge 0.500 0.500 0.000
Ge 0.500 0.500 0.500
Ge 0.000 0.500 0.500
Te 0.500 0.000 0.000
Te 0.500 0.000 0.500
Te 0.000 0.000 0.000
Te 0.000 0.000 0.500
Se 0.000 0.500 0.000

Computed properties:
Symmetry: R-3m (166)
Formation energy (no corrections) in eV per atom: -1.341
Size of the total moment in μB/atom: 0.000



[9]
VASP calculation (PBE) on a relaxed Y8GeTe3Se3 crystal.

a = 8.327 Å, b = 8.326 Å, c = 8.502 Å
α = 119.32°, β = 90.00°, γ = 120.00°
Positions (direct):
Y 0.261 0.523 0.284
Y 0.739 0.477 0.716
Y 0.760 0.520 0.277
Y 0.240 0.480 0.723
Y 0.760 0.017 0.277
Y 0.240 0.983 0.723
Y 0.257 0.017 0.277
Y 0.743 0.983 0.723
Ge 0.000 0.000 0.500
Te 0.000 0.000 0.000
Te 0.000 0.500 0.000
Te 0.500 0.500 0.000
Se 0.500 0.000 0.500
Se 0.500 0.500 0.500
Se 0.000 0.500 0.500

Computed properties:
Symmetry: R-3m (166)
Formation energy (no corrections) in eV per atom: -1.374
Size of the total moment in μB/atom: 0.000



[10]
VASP calculation (PBE) on a relaxed Y4GeTeSe2 crystal.

a = 4.176 Å, b = 7.195 Å, c = 7.351 Å
α = 70.61°, β = 90.00°, γ = 90.00°
Positions (direct):
Y 0.000 0.758 0.725
Y 0.000 0.242 0.275
Y 0.500 0.744 0.269
Y 0.500 0.256 0.731
Ge 0.000 0.500 0.500
Te 0.500 0.500 0.000
Se 0.000 0.000 0.000
Se 0.500 0.000 0.500

Computed properties:
Symmetry: P2/m (10)
Formation energy (no corrections) in eV per atom: -1.508
Size of the total moment in μB/atom: 0.000



[11]
VASP calculation (PBE) on a relaxed Y8Ge3TeSe4 crystal.

a = 8.346 Å, b = 8.326 Å, c = 8.346 Å
α = 120.08°, β = 120.00°, γ = 90.00°
Positions (direct):
Y 0.255 0.743 0.988
Y 0.256 0.743 0.511
Y 0.254 0.263 0.509
Y 0.732 0.743 0.988
Y 0.268 0.257 0.012
Y 0.746 0.737 0.491
Y 0.744 0.257 0.489
Y 0.745 0.257 0.012
Ge 0.500 0.500 0.000
Ge 0.500 0.500 0.500
Ge 0.000 0.500 0.500
Te 0.000 0.500 0.000
Se 0.500 0.000 0.000
Se 0.500 0.000 0.500
Se 0.000 0.000 0.000
Se 0.000 0.000 0.500

Computed properties:
Symmetry: R-3m (166)
Formation energy (no corrections) in eV per atom: -1.475
Size of the total moment in μB/atom: 0.000



[12]
VASP calculation (PBE) on a relaxed Y6GeTe3Se2 crystal.

a = 7.283 Å, b = 7.283 Å, c = 7.491 Å
α = 99.30°, β = 99.30°, γ = 119.95°
Positions (direct):
Y 0.928 0.602 0.782
Y 0.748 0.748 0.219
Y 0.072 0.398 0.218
Y 0.602 0.928 0.782
Y 0.252 0.252 0.781
Y 0.398 0.072 0.218
Ge 0.000 0.000 0.000
Te 0.169 0.831 0.500
Te 0.831 0.169 0.500
Te 0.500 0.500 0.500
Se 0.334 0.666 0.000
Se 0.666 0.334 0.000

Computed properties:
Symmetry: C2/m (12)
Formation energy (no corrections) in eV per atom: -1.481
Size of the total moment in μB/atom: 0.000



[13]
VASP calculation (PBE) on a relaxed Y6GeTe2Se3 crystal.

a = 7.315 Å, b = 7.315 Å, c = 7.228 Å
α = 99.70°, β = 99.70°, γ = 119.92°
Positions (direct):
Y 0.914 0.608 0.740
Y 0.782 0.782 0.265
Y 0.086 0.392 0.260
Y 0.608 0.914 0.740
Y 0.218 0.218 0.735
Y 0.392 0.086 0.260
Ge 0.000 0.000 0.000
Te 0.335 0.665 0.000
Te 0.665 0.335 0.000
Se 0.176 0.824 0.500
Se 0.824 0.176 0.500
Se 0.500 0.500 0.500

Computed properties:
Symmetry: C2/m (12)
Formation energy (no corrections) in eV per atom: -1.530
Size of the total moment in μB/atom: 0.000



[14]
VASP calculation (PBE) on a relaxed Y6Ge2Te3Se crystal.

a = 4.231 Å, b = 8.606 Å, c = 9.587 Å
α = 104.24°, β = 102.75°, γ = 90.00°
Positions (direct):
Y 0.336 0.894 0.672
Y 0.673 0.565 0.347
Y 0.664 0.106 0.328
Y 0.010 0.241 0.021
Y 0.990 0.759 0.979
Y 0.327 0.435 0.653
Ge 0.833 0.668 0.667
Ge 0.167 0.332 0.333
Te 0.500 0.500 0.000
Te 0.836 0.166 0.673
Te 0.164 0.834 0.327
Se 0.500 0.000 0.000

Computed properties:
Symmetry: C2/m (12)
Formation energy (no corrections) in eV per atom: -1.365
Size of the total moment in μB/atom: 0.000



[15]
VASP calculation (PBE) on a relaxed Y4GeTe2Se crystal.

a = 4.225 Å, b = 7.497 Å, c = 7.296 Å
α = 70.90°, β = 90.00°, γ = 90.00°
Positions (direct):
Y 0.000 0.720 0.752
Y 0.000 0.280 0.248
Y 0.500 0.720 0.267
Y 0.500 0.280 0.733
Ge 0.000 0.500 0.500
Te 0.000 0.000 0.000
Te 0.500 0.000 0.500
Se 0.500 0.500 0.000

Computed properties:
Symmetry: P2/m (10)
Formation energy (no corrections) in eV per atom: -1.429
Size of the total moment in μB/atom: 0.000



[16]
VASP calculation (PBE) on a relaxed Th5Ge4Se crystal.

a = 4.306 Å, b = 6.055 Å, c = 11.344 Å
α = 105.48°, β = 100.94°, γ = 90.00°
Positions (direct):
Th 0.603 0.103 0.207
Th 0.800 0.300 0.600
Th 0.200 0.700 0.400
Th 0.000 0.500 0.000
Th 0.397 0.897 0.793
Ge 0.402 0.402 0.803
Ge 0.800 0.800 0.600
Ge 0.200 0.200 0.400
Ge 0.598 0.598 0.197
Se 0.000 0.000 0.000

Computed properties:
Symmetry: Immm (71)
Formation energy (no corrections) in eV per atom: -0.970
Size of the total moment in μB/atom: 0.000



[17]
VASP calculation (PBE) on a relaxed Th6GeSe12 crystal.

a = 8.404 Å, b = 8.404 Å, c = 8.404 Å
α = 100.38°, β = 100.38°, γ = 100.38°
Positions (direct):
Th 0.700 0.866 0.372
Th 0.628 0.300 0.134
Th 0.134 0.628 0.300
Th 0.300 0.134 0.628
Th 0.372 0.700 0.866
Th 0.866 0.372 0.700
Ge 0.000 0.000 0.000
Se 0.824 0.572 0.431
Se 0.431 0.824 0.572
Se 0.572 0.431 0.824
Se 0.176 0.428 0.569
Se 0.569 0.176 0.428
Se 0.428 0.569 0.176
Se 0.059 0.955 0.320
Se 0.045 0.680 0.941
Se 0.680 0.941 0.045
Se 0.941 0.045 0.680
Se 0.955 0.320 0.059
Se 0.320 0.059 0.955

Computed properties:
Symmetry: R-3 (148)
Formation energy (no corrections) in eV per atom: -1.510
Size of the total moment in μB/atom: 0.000



[18]
VASP calculation (PBE) on a relaxed Th4GeSe3 crystal.

a = 5.985 Å, b = 5.985 Å, c = 5.985 Å
α = 90.00°, β = 90.00°, γ = 90.00°
Positions (direct):
Ge 0.000 0.000 0.000
Se 0.000 0.500 0.500
Se 0.500 0.000 0.500
Se 0.500 0.500 0.000
Th 0.500 0.000 0.000
Th 0.000 0.500 0.000
Th 0.000 0.000 0.500
Th 0.500 0.500 0.500

Computed properties:
Symmetry: Pm-3m (221)
Formation energy (no corrections) in eV per atom: -1.393
Size of the total moment in μB/atom: 0.000



[19]
VASP calculation (PBE) on a relaxed Th2GeSe crystal.

a = 3.602 Å, b = 3.602 Å, c = 7.612 Å
α = 90.00°, β = 90.00°, γ = 90.00°
Positions (direct):
Ge 0.500 0.500 0.000
Se 0.500 0.500 0.500
Th 0.000 0.000 0.755
Th 0.000 0.000 0.245

Computed properties:
Symmetry: P4/mmm (123)
Formation energy (no corrections) in eV per atom: -0.990
Distance to the lowest polymorph of the same formula in eV/atom: 0.233
Size of the total moment in μB/atom: 0.000



[20]
VASP calculation (PBE) on a relaxed Th3GeSe2 crystal.

a = 4.303 Å, b = 5.997 Å, c = 7.291 Å
α = 114.28°, β = 107.16°, γ = 90.00°
Positions (direct):
Th 0.500 0.500 0.000
Th 0.163 0.163 0.326
Th 0.837 0.837 0.674
Ge 0.500 0.000 0.000
Se 0.167 0.667 0.333
Se 0.833 0.333 0.667

Computed properties:
Symmetry: Immm (71)
Formation energy (no corrections) in eV per atom: -1.340
Distance to the lowest polymorph of the same formula in eV/atom: 0.003
Size of the total moment in μB/atom: 0.000